1.
A relaxed structure of IrOF2. Source: OQMD, functional GGA-PBE.

Unit cell a=4.7098 b=4.7098 c=4.7098 alpha=138.08 beta=134.16 gamma=63.85
Atoms (fractional coordinates):
Ir 0.0000 0.0000 0.0000
O 0.5000 0.0000 0.5000
F 0.1501 0.6501 0.5000
F 0.8499 0.3499 0.5000

Summary:
Space group   Immm
Energy relative to the lowest polymorph listed for this composition   0.077 eV/atom

=====

2.
A relaxed structure of DyPuZn. Source: OQMD, functional GGA-PBE.

Unit cell a=4.9380 b=4.9380 c=4.9380 alpha=60.00 beta=60.00 gamma=60.00
Atoms (fractional coordinates):
Dy 0.0000 0.0000 0.0000
Pu 0.5000 0.5000 0.5000
Zn 0.2500 0.2500 0.2500

Summary:
Formation energy   180 meV/atom
Space group   F-43m
Energy relative to the lowest polymorph listed for this composition   0.000 eV/atom

=====

3.
A relaxed structure of K2Hg2PdCl8. Source: OQMD, functional GGA-PBE.

Unit cell a=6.6221 b=6.6221 c=9.8278 alpha=105.33 beta=105.33 gamma=62.18
Atoms (fractional coordinates):
K 0.1040 0.1040 0.3378
K 0.8960 0.8960 0.6622
Hg 0.3649 0.3649 0.1021
Hg 0.6351 0.6351 0.8979
Pd 0.5000 0.5000 0.5000
Cl 0.1256 0.6048 0.3704
Cl 0.1475 0.1475 0.0019
Cl 0.3952 0.8744 0.6296
Cl 0.4166 0.4166 0.8062
Cl 0.5834 0.5834 0.1938
Cl 0.6048 0.1256 0.3704
Cl 0.8525 0.8525 0.9981
Cl 0.8744 0.3952 0.6296

Summary:
Space group   C2/m
Total DFT energy (no corrections)   -2.76 eV/atom

=====

4.
A relaxed structure of HoThPd6. Source: OQMD, functional GGA-PBE.

Unit cell a=4.1573 b=4.1573 c=8.2743 alpha=90.00 beta=90.00 gamma=90.00
Atoms (fractional coordinates):
Ho 0.0000 0.0000 0.0000
Th 0.0000 0.0000 0.5000
Pd 0.0000 0.5000 0.2477
Pd 0.0000 0.5000 0.7523
Pd 0.5000 0.0000 0.2477
Pd 0.5000 0.0000 0.7523
Pd 0.5000 0.5000 0.0000
Pd 0.5000 0.5000 0.5000

Summary:
Formation energy   -971 meV/atom
Space group   P4/mmm

=====

no.,theoretical density (g/cm3)
1,8.274
2,9.204
3,3.982
4,12.024